Compound: PaZn11Ga
Source: Alexandria
Functional: PBE
Structure: optimized geometry

a b c (Å): 5.207 6.840 6.863
angles (deg): 81.50 67.71 67.08
Sites, in units of the cell vectors:
Zn  0.497  0.212  0.784
Zn  0.718  0.788  0.784
Zn  0.000  0.000  0.500
Zn  0.007  0.353  0.643
Zn  0.649  0.353  0.357
Zn  0.500  0.000  0.500
Zn  0.000  0.500  0.000
Zn  0.282  0.212  0.216
Zn  0.503  0.788  0.216
Zn  0.351  0.647  0.643
Zn  0.993  0.647  0.357
Pa  0.000  0.000  0.000
Ga  0.500  0.500  0.000

Results
As for the formation energy: -0.071 eV/atom. The volume comes out at 208.3 Å³/cell. As for the space group: No. 12. Its density is 8.1 g/cm³.


Compound: KSmSI
Source: Alexandria
Functional: PBE
Structure: optimized geometry

a b c (Å): 4.189 4.190 8.641
angles (deg): 90.00 104.03 120.01
Sites, in units of the cell vectors:
S  0.323  0.560  0.898
K  0.502  0.149  0.666
Sm  0.106  0.951  0.072
I  0.947  0.372  0.334

Results
The uncorrected formation energy is -1424 meV per atom. The volume comes out at 126.1 Å³/cell. As for the space group: No. 160. Its density is 4.6 g/cm³.


Compound: FeCo2Sb2
Source: Alexandria
Functional: PBE
Structure: optimized geometry

a b c (Å): 6.746 6.746 3.327
angles (deg): 90.00 90.00 90.00
Site moments in Bohr magnetons follow the coordinates.
Sites, in units of the cell vectors:
Co  0.373  0.873  0.000  0.21
Co  0.627  0.127  0.000  0.21
Co  0.127  0.373  0.000  0.21
Co  0.873  0.627  0.000  0.21
Sb  0.324  0.176  0.500  0.00
Sb  0.176  0.676  0.500  0.00
Sb  0.676  0.824  0.500  0.00
Sb  0.824  0.324  0.500  0.00
Fe  0.000  0.000  0.000  -0.22
Fe  0.500  0.500  0.000  -0.23

Results
The uncorrected formation energy is 389 meV per atom. The calculation puts the relative energy among the computed polymorphs at 86 meV/atom. The volume comes out at 151.4 Å³/cell. As for the space group: No. 127. Its density is 9.2 g/cm³.


Compound: Ce4Al12Pt
Source: Alexandria
Functional: PBE
Structure: optimized geometry

a b c (Å): 7.579 7.579 7.579
angles (deg): 109.47 109.47 109.47
Site moments in Bohr magnetons follow the coordinates.
Sites, in units of the cell vectors:
Al  0.000  0.294  0.294  0.00
Al  0.000  0.706  0.706  0.00
Al  0.250  0.750  0.500  0.00
Al  0.294  0.000  0.294  0.00
Al  0.500  0.750  0.250  0.00
Al  0.500  0.250  0.750  0.00
Al  0.750  0.500  0.250  0.00
Al  0.250  0.500  0.750  0.00
Al  0.294  0.294  0.000  0.00
Al  0.706  0.000  0.706  0.00
Al  0.706  0.706  0.000  0.00
Al  0.750  0.250  0.500  0.00
Ce  0.500  0.000  0.000  0.26
Ce  0.000  0.500  0.000  0.26
Ce  0.000  0.000  0.500  0.26
Ce  0.500  0.500  0.500  0.26
Pt  0.000  0.000  0.000  0.00

Results
As for the formation energy: -0.538 eV/atom. The volume comes out at 335.2 Å³/cell. As for the space group: No. 229. Its density is 5.3 g/cm³.


Compound: TiCu2SbH
Source: Alexandria
Functional: PBE
Structure: optimized geometry

a b c (Å): 3.993 3.993 4.047
angles (deg): 90.00 90.00 90.00
Sites, in units of the cell vectors:
Cu  0.000  0.500  0.000
Cu  0.500  0.000  0.000
Sb  0.500  0.500  0.500
H  0.000  0.000  0.000
Ti  0.000  0.000  0.500

Results
The volume comes out at 64.5 Å³/cell. As for the space group: No. 123. Its density is 7.7 g/cm³.


Compound: Mg2Sb2I
Source: Alexandria
Functional: PBE
Structure: optimized geometry

a b c (Å): 5.418 5.418 6.388
angles (deg): 64.91 64.91 90.00
Sites, in units of the cell vectors:
Sb  0.638  0.638  0.725
Sb  0.362  0.362  0.275
I  0.000  0.000  0.000
Mg  0.750  0.250  0.500
Mg  0.250  0.750  0.500

Results
The uncorrected formation energy is -242 meV per atom. The calculation puts the relative energy among the computed polymorphs at 0 meV/atom. The volume comes out at 150.0 Å³/cell. As for the space group: No. 139. Its density is 4.6 g/cm³.


Compound: Ho7Te3
Source: Alexandria
Functional: PBE
Structure: optimized geometry

a b c (Å): 7.125 9.721 9.721
angles (deg): 120.00 90.00 90.00
Sites, in units of the cell vectors:
Ho  0.953  0.878  0.122
Ho  0.169  0.075  0.537
Ho  0.024  0.667  0.333
Ho  0.453  0.756  0.878
Ho  0.669  0.537  0.075
Ho  0.169  0.463  0.537
Ho  0.169  0.463  0.925
Ho  0.953  0.244  0.122
Ho  0.669  0.925  0.463
Ho  0.669  0.537  0.463
Ho  0.453  0.122  0.878
Ho  0.953  0.878  0.756
Ho  0.524  0.333  0.667
Ho  0.453  0.122  0.244
Te  0.339  0.405  0.202
Te  0.339  0.798  0.595
Te  0.839  0.202  0.798
Te  0.339  0.798  0.202
Te  0.839  0.595  0.798
Te  0.839  0.202  0.405

Results
The uncorrected formation energy is -742 meV per atom. The volume comes out at 583.1 Å³/cell. As for the space group: No. 186. Its density is 8.8 g/cm³.


Compound: Mg2CrP
Source: Alexandria
Functional: PBE
Structure: optimized geometry

a b c (Å): 5.472 5.472 5.472
angles (deg): 144.28 131.97 61.27
Site moments in Bohr magnetons follow the coordinates.
Sites, in units of the cell vectors:
Mg  0.009  0.009  0.000  -0.02
Mg  0.722  0.222  0.500  -0.02
P  0.472  0.472  0.000  -0.06
Cr  0.297  0.797  0.500  2.90

Results
As for the formation energy: -0.023 eV/atom. The volume comes out at 70.4 Å³/cell. As for the space group: No. 44. Its density is 3.1 g/cm³.


Compound: RbHfSb3
Source: Alexandria
Functional: PBE
Structure: optimized geometry

a b c (Å): 5.607 5.607 5.607
angles (deg): 90.00 90.00 90.00
Sites, in units of the cell vectors:
Sb  0.500  0.000  0.000
Sb  0.000  0.000  0.500
Sb  0.000  0.500  0.000
Rb  0.500  0.500  0.500
Hf  0.000  0.000  0.000

Results
The uncorrected formation energy is -171 meV per atom. The calculation puts the relative energy among the computed polymorphs at 0 meV/atom. The volume comes out at 176.3 Å³/cell. As for the space group: No. 221. Its density is 5.9 g/cm³.


Compound: SmDyScTl
Source: Alexandria
Functional: PBE
Structure: optimized geometry

a b c (Å): 5.406 5.406 5.406
angles (deg): 60.00 60.00 60.00
Site moments in Bohr magnetons follow the coordinates.
Sites, in units of the cell vectors:
Dy  0.500  0.500  0.500  0.28
Sm  0.000  0.000  0.000  0.18
Tl  0.750  0.750  0.750  -0.01
Sc  0.250  0.250  0.250  0.46

Results
As for the formation energy: -0.066 eV/atom. The calculation puts the relative energy among the computed polymorphs at 109 meV/atom. The volume comes out at 111.7 Å³/cell. As for the space group: No. 216. Its density is 8.4 g/cm³.


Compound: Ag2HPb2
Source: Alexandria
Functional: PBE
Structure: optimized geometry

a b c (Å): 5.928 5.928 5.266
angles (deg): 55.75 55.75 90.00
Sites, in units of the cell vectors:
Ag  0.716  0.716  0.569
Ag  0.284  0.284  0.431
H  0.000  0.000  0.000
Pb  0.750  0.250  0.500
Pb  0.250  0.750  0.500

Results
The calculation puts the relative energy among the computed polymorphs at 0 meV/atom. The volume comes out at 112.0 Å³/cell. As for the space group: No. 139. Its density is 9.4 g/cm³.


Compound: Ca6SnBi2
Source: Alexandria
Functional: PBE
Structure: optimized geometry

a b c (Å): 7.456 8.340 10.744
angles (deg): 90.00 89.64 90.00
Sites, in units of the cell vectors:
Bi  0.966  0.410  0.745
Bi  0.534  0.910  0.755
Bi  0.034  0.590  0.255
Bi  0.466  0.090  0.245
Ca  0.868  0.947  0.239
Ca  0.632  0.447  0.261
Ca  0.833  0.692  0.935
Ca  0.684  0.181  0.946
Ca  0.132  0.053  0.761
Ca  0.667  0.192  0.565
Ca  0.316  0.819  0.054
Ca  0.816  0.681  0.554
Ca  0.184  0.319  0.446
Ca  0.333  0.808  0.435
Ca  0.368  0.553  0.739
Ca  0.167  0.308  0.065
Sn  0.500  0.500  0.000
Sn  0.000  0.000  0.500

Results
As for the formation energy: -0.538 eV/atom. The volume comes out at 668.0 Å³/cell. As for the space group: No. 14. Its density is 3.9 g/cm³.


Compound: BeMoPb2
Source: Alexandria
Functional: PBE
Structure: optimized geometry

a b c (Å): 8.433 8.433 8.433
angles (deg): 23.04 23.04 23.04
Sites, in units of the cell vectors:
Mo  0.750  0.750  0.750
Pb  0.995  0.995  0.995
Pb  0.505  0.505  0.505
Be  0.250  0.250  0.250

Results
As for the formation energy: 0.809 eV/atom. The volume comes out at 80.7 Å³/cell. As for the space group: No. 166. Its density is 10.7 g/cm³.


Compound: EuTlTe2
Source: Alexandria
Functional: PBE
Structure: optimized geometry

a b c (Å): 4.132 4.132 7.554
angles (deg): 90.00 90.00 90.00
Site moments in Bohr magnetons follow the coordinates.
Sites, in units of the cell vectors:
Te  0.000  0.000  0.226  -0.07
Te  0.000  0.000  0.774  -0.07
Eu  0.500  0.500  0.000  6.76
Tl  0.500  0.500  0.500  -0.01

Results
The uncorrected formation energy is -859 meV per atom. The volume comes out at 128.9 Å³/cell. As for the space group: No. 123. Its density is 7.9 g/cm³.


Compound: B2C
Source: Alexandria
Functional: PBE
Structure: optimized geometry

a b c (Å): 4.753 4.753 4.418
angles (deg): 82.85 82.85 122.48
Sites, in units of the cell vectors:
B  0.061  0.664  0.991
B  0.483  0.483  0.558
B  0.664  0.061  0.991
B  0.377  0.608  0.148
B  0.482  0.105  0.525
B  0.934  0.934  0.148
B  0.105  0.482  0.525
B  0.608  0.377  0.148
C  0.109  0.786  0.626
C  0.786  0.109  0.626
C  0.300  0.300  0.946
C  0.840  0.840  0.518

Results
As for the formation energy: 0.472 eV/atom. The calculation puts the relative energy among the computed polymorphs at 286 meV/atom. The volume comes out at 81.3 Å³/cell. As for the space group: No. 8. Its density is 2.7 g/cm³.


Compound: Cs2LiReI6
Source: Alexandria
Functional: PBE
Structure: optimized geometry

a b c (Å): 8.232 8.232 8.228
angles (deg): 59.98 59.98 90.00
Site moments in Bohr magnetons follow the coordinates.
Sites, in units of the cell vectors:
Cs  0.250  0.750  0.500  0.00
Cs  0.750  0.250  0.500  0.00
I  0.238  0.238  0.524  0.02
I  0.762  0.762  0.476  0.02
I  0.238  0.762  0.000  0.03
I  0.762  0.762  0.000  0.02
I  0.762  0.238  0.000  0.03
I  0.238  0.238  0.000  0.02
Re  0.000  0.000  0.000  1.50
Li  0.500  0.500  0.000  0.00

Results
The uncorrected formation energy is -706 meV per atom. The volume comes out at 394.0 Å³/cell. As for the space group: No. 139. Its density is 5.1 g/cm³.


Compound: BeHg
Source: Alexandria
Functional: PBE
Structure: optimized geometry

a b c (Å): 5.012 5.012 5.012
angles (deg): 90.00 90.00 90.00
Sites, in units of the cell vectors:
Be  0.111  0.611  0.889
Be  0.889  0.111  0.611
Be  0.389  0.389  0.389
Be  0.611  0.889  0.111
Hg  0.922  0.578  0.422
Hg  0.078  0.078  0.078
Hg  0.422  0.922  0.578
Hg  0.578  0.422  0.922

Results
As for the formation energy: 0.522 eV/atom. The calculation puts the relative energy among the computed polymorphs at 228 meV/atom. The volume comes out at 125.9 Å³/cell. As for the space group: No. 198. Its density is 11.1 g/cm³.


no.,E_tot (eV per atom)
1,-2.112
2,-4.297
3,-5.795
4,-4.932
5,-4.831
6,-2.839
7,-4.889
8,-4.579
9,-4.828
10,-4.571
11,-2.978
12,-3.180
13,-4.684
14,-5.590
15,-7.055
16,-3.243
17,-1.492